Crystalline Tl2ReTc at its relaxed geometry, computed with GGA-PBEsol.

abc: 3.0283 4.6820 5.0939
angles: 90.00 90.00 90.00
Atoms (fractional coordinates):
Tl (0.0000, 0.0000, 0.0000)
Tl (0.5000, 0.0000, 0.5000)
Re (0.0000, 0.5000, 0.5000)
Tc (0.5000, 0.5000, 0.0000)

Results
M_tot = 0.05 μB/atom
Calculated formation energy = 1054 meV per atom
Density = 15.9 g/cm3
Space group = No. 47
Polymorph energy (0 for the lowest one) = 0 meV per atom